# 1
A PBEsol-optimized structure of LiTa2O6. Source: Alexandria, functional SCAN.

Calculated values
- V (Å³ per cell) = 328
- E_tot (eV per atom) = -21.870
- raw formation energy (eV per atom) = -2.65

```
data_LiTa2O6
_chemical_formula_sum 'Li3 Ta6 O18'
_symmetry_space_group_name_H-M 'R 3'
_symmetry_Int_Tables_number 146
_symmetry_space_group_name_Hall 'R 3'
_cell_length_a 5.2159
_cell_length_b 5.2159
_cell_length_c 13.9100
_cell_angle_alpha 90.00
_cell_angle_beta 90.00
_cell_angle_gamma 120.00
loop_
_atom_site_label
_atom_site_fract_x
_atom_site_fract_y
_atom_site_fract_z
Li1 0.0000 0.0000 0.0000
Ta1 0.0000 0.0000 0.2178
Ta2 0.0000 0.0000 0.7063
O1 0.0422 0.3345 0.2914
O2 0.1019 0.7605 0.7888
```

---

# 2
A PBEsol-optimized structure of Cr2NiOs. Source: Alexandria, functional SCAN.

Calculated values
- V (Å³ per cell) = 94
- E_tot (eV per atom) = -31.165
- formation enthalpy at 0 K (kJ/mol of atoms) = 3.9

```
data_Cr2NiOs
_chemical_formula_sum 'Cr4 Ni2 Os2'
_symmetry_space_group_name_H-M 'I -4 m 2'
_symmetry_Int_Tables_number 119
_symmetry_space_group_name_Hall 'I -4 -2'
_cell_length_a 3.639
_cell_length_b 3.639
_cell_length_c 7.085
_cell_angle_alpha 90.00
_cell_angle_beta 90.00
_cell_angle_gamma 90.00
loop_
_atom_site_label
_atom_site_fract_x
_atom_site_fract_y
_atom_site_fract_z
Cr1 0.000 0.000 0.000
Cr2 0.000 0.500 0.250
Ni1 0.000 0.000 0.500
Os1 0.000 0.500 0.750
```

---

# 3
A PBEsol-optimized structure of Nd3CoGe2. Source: Alexandria, functional SCAN.

Calculated values
- V (Å³ per cell) = 558
- E_tot (eV per atom) = -31.723
- formation enthalpy at 0 K (kJ/mol of atoms) = -66.2

```
data_Nd3CoGe2
_chemical_formula_sum 'Nd12 Co4 Ge8'
_symmetry_space_group_name_H-M 'P n m a'
_symmetry_Int_Tables_number 62
_cell_length_a 11.785
_cell_length_b 4.185
_cell_length_c 11.312
_cell_angle_alpha 90.00
_cell_angle_beta 90.00
_cell_angle_gamma 90.00
loop_
_symmetry_equiv_pos_as_xyz
'x,y,z'
'-x,-y,-z'
'-x+1/2,-y,z+1/2'
'x+1/2,y,-z+1/2'
'x+1/2,-y+1/2,-z+1/2'
'-x+1/2,y+1/2,z+1/2'
'-x,y+1/2,-z'
'x,-y+1/2,z'
loop_
_atom_site_label
_atom_site_fract_x
_atom_site_fract_y
_atom_site_fract_z
Nd1 0.054 0.250 0.128
Nd2 0.119 0.750 0.556
Nd3 0.223 0.250 0.797
Co1 0.131 0.250 0.366
Ge1 0.023 0.750 0.315
Ge2 0.196 0.750 0.995
```